Entry 1:
First-principles (PBE) data for crystalline Th4H15 at its relaxed geometry, as listed in OQMD via LeMat-Bulk.

```
38
Lattice="-4.518 4.518 4.518 4.518 -4.518 4.518 4.518 4.518 -4.518" Properties=species:S:1:pos:R:3 pbc="T T T"
Th 2.627 1.890 -1.890
Th 4.886 -0.368 0.368
Th 1.890 -1.890 2.627
Th 1.890 1.890 1.890
Th -1.890 2.627 1.890
Th 0.368 4.886 -0.368
Th -0.368 0.368 4.886
Th 4.149 4.149 4.149
H 7.029 -0.823 1.150
H 1.436 -0.253 1.109
H 6.776 1.129 0.000
H 1.109 1.436 -0.253
H 5.341 -1.150 2.511
H 3.409 1.436 0.253
H 4.265 3.409 -1.436
H 3.388 0.000 2.259
H -0.253 1.109 1.436
H 3.409 -1.436 4.265
H 5.341 1.150 2.006
H 5.627 3.082 0.253
H 2.259 3.388 0.000
H 1.436 0.253 3.409
H 2.511 5.341 -1.150
H 0.253 3.409 1.436
H 3.694 3.368 2.006
H 0.000 2.259 3.388
H 3.368 2.006 3.694
H 3.082 0.253 5.627
H 1.150 7.029 -0.823
H 2.006 5.341 1.150
H 1.129 0.000 6.776
H 2.006 3.694 3.368
H 1.150 2.006 5.341
H -1.436 4.265 3.409
H -1.150 2.511 5.341
H 0.000 6.776 1.129
H -0.823 1.150 7.029
H 0.253 5.627 3.082
```

Calculated values
Total energy, eV per formula unit: -89.26

***

Entry 2:
First-principles (PBE) data for crystalline BaMo2W2 at its relaxed geometry, as listed in OQMD via LeMat-Bulk.

```
5
Lattice="-2.152 2.152 6.053 2.152 -2.152 6.053 2.152 2.152 -6.053" Properties=species:S:1:pos:R:3 pbc="T T T"
Ba 0.000 0.000 0.000
Mo 0.000 0.000 4.489
Mo 0.000 0.000 7.616
W 2.152 0.000 3.026
W 0.000 2.152 3.026
```

Calculated values
Total energy, eV per formula unit: -46.03
ΔE to the lowest computed polymorph, meV/atom: 0.0

***

Entry 3:
First-principles (PBE) data for crystalline Tb3YB2Pb2 at its relaxed geometry, as listed in OQMD via LeMat-Bulk.

```
8
Lattice="3.709 0.000 0.000 -1.855 3.212 0.000 0.000 0.000 16.805" Properties=species:S:1:pos:R:3 pbc="T T T"
Tb 0.000 0.000 0.000
Tb 0.000 0.000 5.399
Tb 0.000 2.142 8.413
Y 0.000 2.142 13.792
B 1.855 1.071 6.907
B 1.855 1.071 15.303
Pb 0.000 0.000 11.115
Pb 0.000 2.142 2.701
```

Calculated values
Total energy, eV per formula unit: -42.68

***

Entry 4:
First-principles (PBE) data for crystalline RbFe2S3 at its relaxed geometry, as listed in OQMD via LeMat-Bulk.

```
12
Lattice="8.185 0.000 0.000 0.000 3.488 0.000 -3.829 0.000 8.044" Properties=species:S:1:pos:R:3 pbc="T T T"
Rb -0.907 0.872 2.075
Rb 5.262 2.616 5.969
Fe 3.210 0.872 1.284
Fe 2.443 2.616 3.144
Fe 1.912 0.872 4.900
Fe 1.145 2.616 6.760
S 1.709 2.616 1.141
S 0.708 2.616 4.498
S -0.375 0.872 7.027
S 4.730 2.616 1.017
S 3.647 0.872 3.546
S 2.646 0.872 6.903
```

Calculated values
Total energy, eV per formula unit: -33.64

***

Entry 5:
First-principles (PBE) data for crystalline Tm4Al4O11 at its relaxed geometry, as listed in OQMD via LeMat-Bulk.

```
19
Lattice="5.104 0.000 0.000 0.000 7.258 0.000 -0.013 0.000 5.334" Properties=species:S:1:pos:R:3 pbc="T T T"
Tm 0.000 0.000 0.000
Tm 0.131 3.629 0.654
Tm 2.549 3.629 3.352
Tm 2.684 0.000 2.659
Al 0.065 1.824 2.998
Al 0.065 5.434 2.998
Al 2.626 1.858 0.338
Al 2.626 5.400 0.338
O 0.535 0.000 3.143
O 1.079 2.175 4.590
O 1.079 5.083 4.590
O 1.602 2.167 1.933
O 1.602 5.091 1.933
O 2.150 0.000 0.473
O 3.633 1.481 4.070
O 3.633 5.777 4.070
O 4.161 1.477 1.396
O 4.161 5.781 1.396
O 4.685 3.629 2.850
```

Calculated values
Total energy, eV per formula unit: -147.91

***

Entry 6:
First-principles (PBE) data for crystalline CoBiPb2 at its relaxed geometry, as listed in OQMD via LeMat-Bulk.

```
4
Lattice="0.000 3.704 3.704 3.704 0.000 3.704 3.704 3.704 0.000" Properties=species:S:1:pos:R:3 pbc="T T T"
Co 0.000 0.000 0.000
Bi 5.556 5.556 5.556
Pb 1.852 1.852 1.852
Pb 3.704 3.704 3.704
```

Calculated values
Total energy, eV per formula unit: -16.27

***

Entry 7:
First-principles (PBE) data for crystalline MgScZnFe at its relaxed geometry, as listed in OQMD via LeMat-Bulk.

```
4
Lattice="0.000 3.169 3.169 3.169 0.000 3.169 3.169 3.169 0.000" Properties=species:S:1:pos:R:3 pbc="T T T"
Mg 0.000 0.000 0.000
Sc 1.584 1.584 1.584
Zn 4.753 4.753 4.753
Fe 3.169 3.169 3.169
```

Calculated values
Total energy, eV per formula unit: -16.96
ΔE to the lowest computed polymorph, meV/atom: 97.7

***

Entry 8:
First-principles (PBE) data for crystalline PrBiTeO2 at its relaxed geometry, as listed in OQMD via LeMat-Bulk.

```
5
Lattice="-2.018 2.018 6.380 2.018 -2.018 6.380 2.018 2.018 -6.380" Properties=species:S:1:pos:R:3 pbc="T T T"
Pr 0.000 0.000 0.000
Bi 0.000 0.000 3.950
Te 0.000 0.000 8.327
O 2.018 0.000 5.128
O 0.000 2.018 5.128
```

Calculated values
Total energy, eV per formula unit: -31.22

***

Entry 9:
First-principles (PBE) data for crystalline Fe2CoC at its relaxed geometry, as listed in OQMD via LeMat-Bulk.

```
16
Lattice="4.993 0.000 0.000 0.000 6.659 0.000 0.000 0.000 4.502" Properties=species:S:1:pos:R:3 pbc="T T T"
Fe 0.893 0.460 0.754
Fe 0.893 2.869 0.754
Fe 1.603 3.790 3.005
Fe 1.603 6.199 3.005
Fe 3.390 0.460 1.497
Fe 3.390 2.869 1.497
Fe 4.099 3.790 3.748
Fe 4.099 6.199 3.748
Co 0.180 1.665 2.957
Co 2.317 4.994 0.706
Co 2.676 1.665 3.796
Co 4.813 4.994 1.545
C 0.625 4.994 4.284
C 1.872 1.665 2.032
C 3.121 4.994 2.470
C 4.368 1.665 0.219
```

Calculated values
Total energy, eV per formula unit: -32.69

***

Entry 10:
First-principles (PBE) data for crystalline Tm4SbPbC2 at its relaxed geometry, as listed in OQMD via LeMat-Bulk.

```
8
Lattice="3.593 0.000 0.000 -1.796 3.112 0.000 0.000 0.000 15.426" Properties=species:S:1:pos:R:3 pbc="T T T"
Tm 0.000 0.000 2.448
Tm 0.000 0.000 12.978
Tm 1.796 1.037 5.042
Tm 1.796 1.037 10.384
Sb 1.796 1.037 0.000
Pb 0.000 0.000 7.713
C 0.000 2.074 3.741
C 0.000 2.074 11.686
```

Calculated values
Total energy, eV per formula unit: -49.10

***

Entry 11:
First-principles (PBE) data for crystalline GdSiGe at its relaxed geometry, as listed in OQMD via LeMat-Bulk.

```
3
Lattice="0.000 3.358 3.358 3.358 0.000 3.358 3.358 3.358 0.000" Properties=species:S:1:pos:R:3 pbc="T T T"
Gd 0.000 0.000 0.000
Si 1.679 1.679 1.679
Ge 5.037 5.037 5.037
```

Calculated values
Total energy, eV per formula unit: -14.53
ΔE to the lowest computed polymorph, meV/atom: 155.6

***

Entry 12:
First-principles (PBE) data for crystalline PrAl2Ga4Pd at its relaxed geometry, as listed in OQMD via LeMat-Bulk.

```
8
Lattice="4.424 0.000 0.000 0.000 4.424 0.000 0.000 0.000 8.030" Properties=species:S:1:pos:R:3 pbc="T T T"
Pr 0.000 0.000 0.000
Al 2.212 2.212 1.242
Al 2.212 2.212 6.788
Ga 0.000 2.212 2.643
Ga 0.000 2.212 5.387
Ga 2.212 0.000 2.643
Ga 2.212 0.000 5.387
Pd 0.000 0.000 4.015
```

Calculated values
Total energy, eV per formula unit: -32.96